The following is a DFT calculation (PBE) of crystalline TmPuAgAu at its relaxed geometry.

Unit cell a=7.237 b=7.237 c=7.237 alpha=90.00 beta=90.00 gamma=90.00
Space group F-43m (No. 216)
Inequivalent atoms, fractional coordinates:
Tm 0.000 0.000 0.000
Pu 0.000 0.000 0.500
Ag 0.250 0.250 0.250
Au 0.250 0.250 0.750

Output
Electronic total energy: -6.573 eV/atom
Formation energy: -0.3401 eV/atom

=====

The following is a DFT calculation (PBE) of crystalline Tl2InNi at its relaxed geometry.

Unit cell a=3.253 b=3.303 c=8.715 alpha=90.00 beta=90.00 gamma=90.00
Space group Pmmm (No. 47)
Inequivalent atoms, fractional coordinates:
Tl 0.000 0.000 0.191
In 0.500 0.500 0.500
Ni 0.500 0.500 0.000

Output
Electronic total energy: -3.085 eV/atom
Formation energy: 0.2283 eV/atom

=====

The following is a DFT calculation (PBE) of crystalline Ac2PaSbO8 at its relaxed geometry.

Unit cell a=5.325 b=7.151 c=5.375 alpha=90.00 beta=92.13 gamma=90.00
Space group P2/m (No. 10)
Inequivalent atoms, fractional coordinates:
Ac 0.000 0.240 0.000
Pa 0.500 0.500 0.500
Sb 0.500 0.000 0.500
O 0.216 0.500 0.220
O 0.235 0.000 0.239
O 0.331 0.233 0.671

Output
ΔE_f (raw): -2.818 eV/atom
Electronic total energy: -7.943 eV/atom

=====

The following is a DFT calculation (PBE) of crystalline Sr2LaNi2 at its relaxed geometry.

Unit cell a=7.521 b=7.521 c=4.860 alpha=90.00 beta=90.00 gamma=90.00
Space group P4/mbm (No. 127)
Inequivalent atoms, fractional coordinates:
Sr 0.169 0.331 0.000
La 0.000 0.000 0.500
Ni 0.112 0.612 0.500

Output
Electronic total energy: -3.988 eV/atom
Formation energy: -0.0174 eV/atom